{
  "formula": "Tc3SbS",
  "functional": "GGA-PBE",
  "state": "relaxed",
  "e_form_raw_mev_per_atom": 490,
  "m_tot_mub_per_cell": 0.4,
  "spacegroup": "Pm-3m, No. 221",
  "n_ef_per_ev_cell": 5.318,
  "e_above_lowest_polymorph_ev_per_atom": 0.0000,
  "lattice_angstrom": [[-1.939, -2.627, 2.965], [2.499, -3.373, -1.354], [3.074, 1.085, 2.971]],
  "species": ["Tc", "Tc", "S", "Sb", "Tc"],
  "fractional_positions": [[0.500, 0.000, 0.000], [0.000, 0.500, 0.000], [0.000, 0.000, 0.000], [0.500, 0.500, 0.500], [0.000, 0.000, 0.500]]
}